First-principles (PBE-GGA) data for an optimized crystal structure of Nd4Sm2Tm5, as listed in Alexandria.

Cell and atoms, written as CIF:
```
data_Nd4Sm2Tm5
_space_group_name_H-M_alt 'C 1 2/m 1'
_space_group_IT_number 12
_space_group_name_Hall '-C 2y'
_cell_length_a 19.4883
_cell_length_b 5.7999
_cell_length_c 6.3983
_cell_angle_alpha 90.00
_cell_angle_beta 93.88
_cell_angle_gamma 90.00
loop_
_atom_site_label
_atom_site_type_symbol
_atom_site_fract_x
_atom_site_fract_y
_atom_site_fract_z
_atom_site_occupancy
Nd1 Nd 0.0329 0.0000 0.2661 1
Nd2 Nd 0.1939 0.5000 0.0737 1
Sm1 Sm 0.0988 0.5000 0.5471 1
Tm1 Tm 0.0000 0.5000 0.0000 1
Tm2 Tm 0.1317 0.0000 0.8602 1
Tm3 Tm 0.2135 0.0000 0.3954 1
```

First-principles (PBE-GGA) data for an optimized crystal structure of Nd3Sm7Tm2, as listed in Alexandria.

Cell and atoms, written as CIF:
```
data_Nd3Sm7Tm2
_space_group_name_H-M_alt 'P 1 2/m 1'
_space_group_IT_number 10
_space_group_name_Hall '-P 2y'
_cell_length_a 5.9161
_cell_length_b 3.6064
_cell_length_c 19.0669
_cell_angle_alpha 90.00
_cell_angle_beta 93.06
_cell_angle_gamma 90.00
loop_
_atom_site_label
_atom_site_type_symbol
_atom_site_fract_x
_atom_site_fract_y
_atom_site_fract_z
_atom_site_occupancy
Nd1 Nd 0.0000 0.0000 0.0000 1
Nd2 Nd 0.2811 0.5000 0.6340 1
Sm1 Sm 0.1874 0.5000 0.1455 1
Sm2 Sm 0.2431 0.0000 0.4642 1
Sm3 Sm 0.3109 0.0000 0.8194 1
Sm4 Sm 0.5000 0.5000 0.0000 1
Tm1 Tm 0.2099 0.0000 0.2949 1
```

| no. | calculated total energy (eV for the cell shown) | size of the total moment (μB/cell) | energy of formation (eV per atom) |
| --- | --- | --- | --- |
| 1 | -99.50 | 0.00 | 0.101 |
| 2 | -55.21 | 0.00 | 0.089 |